Ti6P2O: relaxed, PBEsol.

The structure in extended XYZ format:
```
9
Lattice="4.8620 -1.6273 0.0000 4.8620 1.6273 0.0000 -0.1894 0.0000 7.6552" Properties=species:S:1:pos:R:3 pbc="T T T"
Ti 0.4899 0.0000 1.8425
Ti 3.4986 0.0000 0.4257
Ti 3.4477 0.0000 3.4709
Ti 6.0869 0.0000 4.1843
Ti 6.0360 0.0000 7.2295
Ti 9.0446 0.0000 5.8127
P 2.2751 0.0000 5.7562
P 7.2595 0.0000 1.8990
O -0.0947 0.0000 3.8276
```

Properties
Space group   C2/m, No. 12
Energy relative to the elements, uncorrected   -1389.4 meV/atom

SrHg2Cl: relaxed, PBEsol.

The structure in extended XYZ format:
```
4
Lattice="4.4741 0.0000 0.0000 0.0000 4.4975 0.0000 0.0000 0.0000 5.7707" Properties=species:S:1:pos:R:3 pbc="T T T"
Sr 0.0000 0.0000 0.0000
Hg 2.2371 2.2488 1.4804
Hg 2.2371 2.2488 4.2903
Cl 0.0000 0.0000 2.8853
```

Properties
Space group   Pmmm, No. 47
Energy relative to the elements, uncorrected   -793.4 meV/atom
Excess energy over the best structure of this formula in the dataset   0.1313 eV/atom

NaSr2Au2: relaxed, PBEsol.

The structure in extended XYZ format:
```
10
Lattice="8.2499 0.0000 0.0000 0.0000 8.2499 0.0000 0.0000 0.0000 4.2023" Properties=species:S:1:pos:R:3 pbc="T T T"
Na 0.0000 0.0000 0.0000
Na 4.1250 4.1250 0.0000
Sr 1.3944 2.7305 2.1011
Sr 2.7305 6.8555 2.1011
Sr 5.5194 1.3944 2.1011
Sr 6.8555 5.5194 2.1011
Au 1.0257 5.1507 0.0000
Au 3.0993 1.0257 0.0000
Au 5.1507 7.2242 0.0000
Au 7.2242 3.0993 0.0000
```

Properties
Space group   P4/mbm, No. 127
Energy of formation from the pure elements   -0.5667 eV per atom

Li2CaCd: relaxed, PBEsol.

The structure in extended XYZ format:
```
16
Lattice="7.0538 0.0000 0.0000 0.0000 7.0538 0.0000 0.0000 0.0000 7.0538" Properties=species:S:1:pos:R:3 pbc="T T T"
Li 1.7634 1.7634 1.7634
Li 1.7634 1.7634 5.2903
Li 1.7634 5.2903 1.7634
Li 1.7634 5.2903 5.2903
Li 5.2903 1.7634 1.7634
Li 5.2903 1.7634 5.2903
Li 5.2903 5.2903 1.7634
Li 5.2903 5.2903 5.2903
Ca 0.0000 0.0000 0.0000
Ca 0.0000 3.5269 3.5269
Ca 3.5269 0.0000 3.5269
Ca 3.5269 3.5269 0.0000
Cd 0.0000 0.0000 3.5269
Cd 0.0000 3.5269 0.0000
Cd 3.5269 0.0000 0.0000
Cd 3.5269 3.5269 3.5269
```

Properties
Space group   Fm-3m, No. 225
Energy of formation from the pure elements   -0.1496 eV per atom
Excess energy over the best structure of this formula in the dataset   0.0070 eV/atom

ScFeAg3: relaxed, PBEsol.

The structure in extended XYZ format:
```
5
Lattice="4.8909 0.0000 0.0000 0.0000 4.8909 0.0000 0.0000 0.0000 4.8909" Properties=species:S:1:pos:R:3 pbc="T T T"
Sc 0.0000 0.0000 0.0000
Fe 2.4455 2.4455 2.4455
Ag 0.0000 0.0000 2.4455
Ag 0.0000 2.4455 0.0000
Ag 2.4455 0.0000 0.0000
```

Properties
Space group   Pm-3m, No. 221
Energy of formation from the pure elements   1.4972 eV per atom

LiYIr2: relaxed, PBEsol.

The structure in extended XYZ format:
```
4
Lattice="3.9787 0.0000 0.0000 0.0000 3.9787 0.0000 0.0000 0.0000 4.0425" Properties=species:S:1:pos:R:3 pbc="T T T"
Li 0.0000 0.0000 0.0000
Y 1.9894 1.9894 0.0000
Ir 0.0000 1.9894 2.0213
Ir 1.9894 0.0000 2.0213
```

Properties
Space group   P4/mmm, No. 123
Energy of formation from the pure elements   -0.3154 eV per atom